# 1
! NbBi2O5F, optimized geometry, DFT PBEsol; values from VASP
&SYSTEM
  ibrav = 0, nat = 36, ntyp = 4
/
ATOMIC_SPECIES
Nb 92.91 Nb.upf
Bi 208.98 Bi.upf
O 16.00 O.upf
F 19.00 F.upf
CELL_PARAMETERS angstrom
5.4192 0.0000 0.0000
0.0000 16.6124 0.0000
0.0000 0.0000 5.3992
ATOMIC_POSITIONS crystal
Nb 0.0103 0.2488 0.0000
Nb 0.4897 0.2488 0.5000
Nb 0.5103 0.7512 0.0000
Nb 0.9897 0.7512 0.5000
Bi 0.0055 0.5764 0.9951
Bi 0.0215 0.0770 0.4681
Bi 0.4785 0.0770 0.9681
Bi 0.4945 0.5764 0.4951
Bi 0.5055 0.4236 0.9951
Bi 0.5215 0.9230 0.4681
Bi 0.9785 0.9230 0.9681
Bi 0.9945 0.4236 0.4951
O 0.0727 0.1376 0.0244
O 0.2022 0.2827 0.3065
O 0.2083 0.7507 0.2175
O 0.2448 0.9983 0.7309
O 0.2489 0.4961 0.7501
O 0.2511 0.4961 0.2501
O 0.2552 0.9983 0.2309
O 0.2917 0.7507 0.7175
O 0.2978 0.2827 0.8065
O 0.4273 0.1376 0.5244
O 0.5727 0.8624 0.0244
O 0.7022 0.7173 0.3065
O 0.7083 0.2493 0.2175
O 0.7448 0.0017 0.7309
O 0.7489 0.5039 0.7501
O 0.7511 0.5039 0.2501
O 0.7552 0.0017 0.2309
O 0.7917 0.2493 0.7175
O 0.7978 0.7173 0.8065
O 0.9273 0.8624 0.5244
F 0.0514 0.6204 0.5041
F 0.4486 0.6204 0.0041
F 0.5514 0.3796 0.5041
F 0.9486 0.3796 0.0041
! - Energy above the lowest structure with this stoichiometry: 0.0000 eV/atom
! - Formation energy (no corrections): -1.99 eV/atom
! - Fermi-level density of states: 0.00 states/eV/f.u.
! - Calculated total energy: -65.5 eV per formula unit



# 2
! YZr2TaCl, optimized geometry, DFT PBEsol; values from VASP
&SYSTEM
  ibrav = 0, nat = 5, ntyp = 4
/
ATOMIC_SPECIES
Y 88.91 Y.upf
Zr 91.22 Zr.upf
Ta 180.95 Ta.upf
Cl 35.45 Cl.upf
CELL_PARAMETERS angstrom
5.2391 0.0000 0.0000
0.0000 5.2391 0.0000
0.0000 0.0000 4.8816
ATOMIC_POSITIONS crystal
Y 0.0000 0.0000 0.0000
Zr 0.0000 0.5000 0.0000
Zr 0.5000 0.0000 0.0000
Ta 0.0000 0.0000 0.5000
Cl 0.5000 0.5000 0.5000
! - Formation energy (no corrections): 1.79 eV/atom
! - Fermi-level density of states: 8.09 states/eV/f.u.
! - Calculated total energy: -30.6 eV per formula unit



# 3
! ScSb2, optimized geometry, DFT PBEsol; values from VASP
&SYSTEM
  ibrav = 0, nat = 6, ntyp = 2
/
ATOMIC_SPECIES
Sc 44.96 Sc.upf
Sb 121.76 Sb.upf
CELL_PARAMETERS angstrom
6.1918 -1.6045 0.0000
6.1918 1.6045 0.0000
-2.2934 0.0000 7.6869
ATOMIC_POSITIONS crystal
Sc 0.1283 0.1283 0.0085
Sc 0.8717 0.8717 0.9915
Sb 0.2220 0.2220 0.7015
Sb 0.4670 0.4670 0.7191
Sb 0.5330 0.5330 0.2809
Sb 0.7780 0.7780 0.2985
! - Formation energy (no corrections): -0.40 eV/atom
! - Fermi-level density of states: 2.09 states/eV/f.u.
! - Calculated total energy: -16.9 eV per formula unit



# 4
! BeSiS3, optimized geometry, DFT PBEsol; values from VASP
&SYSTEM
  ibrav = 0, nat = 5, ntyp = 3
/
ATOMIC_SPECIES
Be 9.01 Be.upf
Si 28.09 Si.upf
S 32.06 S.upf
CELL_PARAMETERS angstrom
4.4291 0.0000 0.0000
0.0000 4.4291 0.0000
0.0000 0.0000 4.4291
ATOMIC_POSITIONS crystal
Be 0.0000 0.0000 0.0000
Si 0.5000 0.5000 0.5000
S 0.0000 0.5000 0.5000
S 0.5000 0.0000 0.5000
S 0.5000 0.5000 0.0000
! - Formation energy (no corrections): 0.49 eV/atom
! - Fermi-level density of states: 1.94 states/eV/f.u.
! - Calculated total energy: -20.5 eV per formula unit



# 5
! Ba3TcTe, optimized geometry, DFT PBEsol; values from VASP
&SYSTEM
  ibrav = 0, nat = 5, ntyp = 3
/
ATOMIC_SPECIES
Ba 137.33 Ba.upf
Tc 98.00 Tc.upf
Te 127.60 Te.upf
CELL_PARAMETERS angstrom
5.6471 0.0000 0.0000
0.0000 5.6471 0.0000
0.0000 0.0000 5.6471
ATOMIC_POSITIONS crystal
Ba 0.0000 0.0000 0.5000
Ba 0.0000 0.5000 0.0000
Ba 0.5000 0.0000 0.0000
Tc 0.0000 0.0000 0.0000
Te 0.5000 0.5000 0.5000
! - Formation energy (no corrections): -0.12 eV/atom
! - Fermi-level density of states: 1.60 states/eV/f.u.
! - Calculated total energy: -21.8 eV per formula unit



# 6
! LaIr3, optimized geometry, DFT PBEsol; values from VASP
&SYSTEM
  ibrav = 0, nat = 4, ntyp = 2
/
ATOMIC_SPECIES
La 138.91 La.upf
Ir 192.22 Ir.upf
CELL_PARAMETERS angstrom
2.7947 0.0000 0.0000
0.0000 3.8347 0.0000
0.0000 0.0000 6.5931
ATOMIC_POSITIONS crystal
La 0.0000 0.0000 0.0000
Ir 0.0000 0.0000 0.5000
Ir 0.5000 0.5000 0.3042
Ir 0.5000 0.5000 0.6958
! - Formation energy from the elements: 1.1 kJ/mol of atoms
! - Fermi-level density of states: 4.97 states/eV/f.u.
! - Calculated total energy: -34.8 eV per formula unit



# 7
! TlAg2Pd2, optimized geometry, DFT PBEsol; values from VASP
&SYSTEM
  ibrav = 0, nat = 10, ntyp = 3
/
ATOMIC_SPECIES
Tl 204.38 Tl.upf
Ag 107.87 Ag.upf
Pd 106.42 Pd.upf
CELL_PARAMETERS angstrom
6.9315 0.0000 0.0000
0.0000 6.9315 0.0000
0.0000 0.0000 3.7367
ATOMIC_POSITIONS crystal
Tl 0.0000 0.0000 0.0000
Tl 0.5000 0.5000 0.0000
Ag 0.1563 0.3437 0.5000
Ag 0.3437 0.8437 0.5000
Ag 0.6563 0.1563 0.5000
Ag 0.8437 0.6563 0.5000
Pd 0.1379 0.6379 0.0000
Pd 0.3621 0.1379 0.0000
Pd 0.6379 0.8621 0.0000
Pd 0.8621 0.3621 0.0000
! - Formation energy from the elements: -0.7 kJ/mol of atoms
! - Fermi-level density of states: 1.64 states/eV/f.u.
! - Calculated total energy: -21.2 eV per formula unit



# 8
! AlCr2As, optimized geometry, DFT PBEsol; values from VASP
&SYSTEM
  ibrav = 0, nat = 4, ntyp = 3
/
ATOMIC_SPECIES
Al 26.98 Al.upf
Cr 52.00 Cr.upf
As 74.92 As.upf
CELL_PARAMETERS angstrom
-1.5434 2.1888 3.8634
1.5434 -2.1888 3.8634
1.5434 2.1888 -3.8634
ATOMIC_POSITIONS crystal
Al 0.0000 0.0000 0.0000
Cr 0.2643 0.7643 0.5000
Cr 0.7357 0.2357 0.5000
As 0.5000 0.5000 0.0000
! - Energy above the lowest structure with this stoichiometry: 0.0926 eV/atom
! - Formation energy from the elements: 13.8 kJ/mol of atoms
! - Fermi-level density of states: 3.97 states/eV/f.u.
! - Calculated total energy: -29.1 eV per formula unit



# 9
! HfOsS2, optimized geometry, DFT PBEsol; values from VASP
&SYSTEM
  ibrav = 0, nat = 4, ntyp = 3
/
ATOMIC_SPECIES
Hf 178.49 Hf.upf
Os 190.23 Os.upf
S 32.06 S.upf
CELL_PARAMETERS angstrom
0.0000 3.0615 3.0615
3.0615 0.0000 3.0615
3.0615 3.0615 0.0000
ATOMIC_POSITIONS crystal
Hf 0.0000 0.0000 0.0000
Os 0.5000 0.5000 0.5000
S 0.2500 0.2500 0.2500
S 0.7500 0.7500 0.7500
! - Formation energy (no corrections): -0.35 eV/atom
! - Fermi-level density of states: 3.21 states/eV/f.u.
! - Calculated total energy: -32.9 eV per formula unit



# 10
! MnTc2, optimized geometry, DFT PBEsol; values from VASP
&SYSTEM
  ibrav = 0, nat = 6, ntyp = 2
/
ATOMIC_SPECIES
Mn 54.94 Mn.upf
Tc 98.00 Tc.upf
CELL_PARAMETERS angstrom
4.8311 -1.3290 0.0000
4.8311 1.3290 0.0000
-1.5817 0.0000 5.9825
ATOMIC_POSITIONS crystal
Mn 0.0263 0.0263 0.3068
Mn 0.9737 0.9737 0.6932
Tc 0.3189 0.3189 0.3693
Tc 0.3657 0.3657 0.9700
Tc 0.6343 0.6343 0.0300
Tc 0.6811 0.6811 0.6307
! - Energy above the lowest structure with this stoichiometry: 0.0547 eV/atom
! - Formation energy from the elements: 5.3 kJ/mol of atoms
! - Fermi-level density of states: 3.34 states/eV/f.u.
! - Calculated total energy: -32.1 eV per formula unit



# 11
! SrScTe2, optimized geometry, DFT PBEsol; values from VASP
&SYSTEM
  ibrav = 0, nat = 4, ntyp = 3
/
ATOMIC_SPECIES
Sr 87.62 Sr.upf
Sc 44.96 Sc.upf
Te 127.60 Te.upf
CELL_PARAMETERS angstrom
2.1543 1.2438 7.2942
-2.1543 1.2438 7.2942
0.0000 -2.4875 7.2942
ATOMIC_POSITIONS crystal
Sr 0.0000 0.0000 0.0000
Sc 0.5000 0.5000 0.5000
Te 0.2394 0.2394 0.2394
Te 0.7606 0.7606 0.7606
! - Energy above the lowest structure with this stoichiometry: 0.0000 eV/atom
! - Formation energy (no corrections): -1.41 eV/atom
! - Fermi-level density of states: 2.13 states/eV/f.u.
! - Calculated total energy: -21.1 eV per formula unit



# 12
! GeCNF2, optimized geometry, DFT PBEsol; values from VASP
&SYSTEM
  ibrav = 0, nat = 5, ntyp = 4
/
ATOMIC_SPECIES
Ge 72.64 Ge.upf
C 12.01 C.upf
N 14.01 N.upf
F 19.00 F.upf
CELL_PARAMETERS angstrom
4.6029 0.0000 0.0000
0.0000 4.6029 0.0000
0.0000 0.0000 2.4826
ATOMIC_POSITIONS crystal
Ge 0.0000 0.0000 0.0000
C 0.5000 0.5000 0.5000
N 0.5000 0.5000 0.0000
F 0.0000 0.5000 0.5000
F 0.5000 0.0000 0.5000
! - Formation energy (no corrections): -0.34 eV/atom
! - Fermi-level density of states: 0.57 states/eV/f.u.
! - Calculated total energy: -28.7 eV per formula unit



# 13
! BeIrPt, optimized geometry, DFT PBEsol; values from VASP
&SYSTEM
  ibrav = 0, nat = 3, ntyp = 3
/
ATOMIC_SPECIES
Be 9.01 Be.upf
Ir 192.22 Ir.upf
Pt 195.08 Pt.upf
CELL_PARAMETERS angstrom
0.0000 2.7034 2.7034
2.7034 0.0000 2.7034
2.7034 2.7034 0.0000
ATOMIC_POSITIONS crystal
Be 0.0000 0.0000 0.0000
Ir 0.2500 0.2500 0.2500
Pt 0.7500 0.7500 0.7500
! - Energy above the lowest structure with this stoichiometry: 0.2042 eV/atom
! - Formation energy from the elements: -14.4 kJ/mol of atoms
! - Fermi-level density of states: 2.37 states/eV/f.u.
! - Calculated total energy: -21.2 eV per formula unit



# 14
! KAl2Tc, optimized geometry, DFT PBEsol; values from VASP
&SYSTEM
  ibrav = 0, nat = 4, ntyp = 3
/
ATOMIC_SPECIES
K 39.10 K.upf
Al 26.98 Al.upf
Tc 98.00 Tc.upf
CELL_PARAMETERS angstrom
5.0546 0.0000 0.0000
0.0000 5.0546 0.0000
0.0000 0.0000 2.7545
ATOMIC_POSITIONS crystal
K 0.0000 0.0000 0.0000
Al 0.0000 0.5000 0.5000
Al 0.5000 0.0000 0.5000
Tc 0.5000 0.5000 0.0000
! - Energy above the lowest structure with this stoichiometry: 0.5851 eV/atom
! - Formation energy from the elements: 67.7 kJ/mol of atoms
! - Fermi-level density of states: 2.65 states/eV/f.u.
! - Calculated total energy: -17.8 eV per formula unit



# 15
! Ca3ZnO, optimized geometry, DFT PBEsol; values from VASP
&SYSTEM
  ibrav = 0, nat = 5, ntyp = 3
/
ATOMIC_SPECIES
Ca 40.08 Ca.upf
Zn 65.41 Zn.upf
O 16.00 O.upf
CELL_PARAMETERS angstrom
4.7711 0.0000 0.0000
0.0000 4.7711 0.0000
0.0000 0.0000 4.7711
ATOMIC_POSITIONS crystal
Ca 0.0000 0.0000 0.5000
Ca 0.0000 0.5000 0.0000
Ca 0.5000 0.0000 0.0000
Zn 0.5000 0.5000 0.5000
O 0.0000 0.0000 0.0000
! - Formation energy (no corrections): -1.24 eV/atom
! - Fermi-level density of states: 3.17 states/eV/f.u.
! - Calculated total energy: -19.5 eV per formula unit



# 16
! CdSb2Rh2, optimized geometry, DFT PBEsol; values from VASP
&SYSTEM
  ibrav = 0, nat = 5, ntyp = 3
/
ATOMIC_SPECIES
Cd 112.41 Cd.upf
Sb 121.76 Sb.upf
Rh 102.91 Rh.upf
CELL_PARAMETERS angstrom
-2.1507 2.1507 5.6251
2.1507 -2.1507 5.6251
2.1507 2.1507 -5.6251
ATOMIC_POSITIONS crystal
Cd 0.0000 0.0000 0.0000
Sb 0.2500 0.7500 0.5000
Sb 0.7500 0.2500 0.5000
Rh 0.3828 0.3828 0.0000
Rh 0.6172 0.6172 0.0000
! - Formation energy (no corrections): 0.07 eV/atom
! - Fermi-level density of states: 2.98 states/eV/f.u.
! - Calculated total energy: -26.3 eV per formula unit



# 17
! LiCdMo, optimized geometry, DFT PBEsol; values from VASP
&SYSTEM
  ibrav = 0, nat = 3, ntyp = 3
/
ATOMIC_SPECIES
Li 6.94 Li.upf
Cd 112.41 Cd.upf
Mo 95.94 Mo.upf
CELL_PARAMETERS angstrom
-1.3077 2.2303 4.2975
1.3077 -2.2303 4.2975
1.3077 2.2303 -4.2975
ATOMIC_POSITIONS crystal
Li 0.0000 0.0000 0.0000
Cd 0.3335 0.3335 0.0000
Mo 0.6713 0.6713 0.0000
! - Energy above the lowest structure with this stoichiometry: 0.2553 eV/atom
! - Formation energy from the elements: 54.2 kJ/mol of atoms
! - Fermi-level density of states: 2.07 states/eV/f.u.
! - Calculated total energy: -13.2 eV per formula unit



# 18
! NdTmMg2, optimized geometry, DFT PBEsol; values from VASP
&SYSTEM
  ibrav = 0, nat = 4, ntyp = 3
/
ATOMIC_SPECIES
Nd 144.24 Nd.upf
Tm 168.93 Tm.upf
Mg 24.30 Mg.upf
CELL_PARAMETERS angstrom
0.0000 3.7661 3.7661
3.7661 0.0000 3.7661
3.7661 3.7661 0.0000
ATOMIC_POSITIONS crystal
Nd 0.0000 0.0000 0.0000
Tm 0.5000 0.5000 0.5000
Mg 0.2500 0.2500 0.2500
Mg 0.7500 0.7500 0.7500
! - Formation energy from the elements: -7.6 kJ/mol of atoms
! - Fermi-level density of states: 4.06 states/eV/f.u.
! - Calculated total energy: -13.8 eV per formula unit



# 19
! NaZrTeAu2, optimized geometry, DFT PBEsol; values from VASP
&SYSTEM
  ibrav = 0, nat = 5, ntyp = 4
/
ATOMIC_SPECIES
Na 22.99 Na.upf
Zr 91.22 Zr.upf
Te 127.60 Te.upf
Au 196.97 Au.upf
CELL_PARAMETERS angstrom
5.2081 0.0000 0.0000
0.0000 5.2081 0.0000
0.0000 0.0000 5.2660
ATOMIC_POSITIONS crystal
Na 0.0000 0.0000 0.0000
Zr 0.5000 0.5000 0.0000
Te 0.5000 0.5000 0.5000
Au 0.0000 0.5000 0.5000
Au 0.5000 0.0000 0.5000
! - Formation energy (no corrections): 0.49 eV/atom
! - Fermi-level density of states: 2.07 states/eV/f.u.
! - Calculated total energy: -19.4 eV per formula unit



# 20
! RbCuO2F, optimized geometry, DFT PBEsol; values from VASP
&SYSTEM
  ibrav = 0, nat = 5, ntyp = 4
/
ATOMIC_SPECIES
Rb 85.47 Rb.upf
Cu 63.55 Cu.upf
O 16.00 O.upf
F 19.00 F.upf
CELL_PARAMETERS angstrom
4.1476 0.0000 0.0000
0.0000 4.1476 0.0000
0.0000 0.0000 4.8576
ATOMIC_POSITIONS crystal
Rb 0.0000 0.0000 0.0000
Cu 0.5000 0.5000 0.5000
O 0.0000 0.5000 0.0000
O 0.5000 0.0000 0.0000
F 0.0000 0.0000 0.5000
! - Formation energy (no corrections): 0.76 eV/atom
! - Fermi-level density of states: 8.20 states/eV/f.u.
! - Calculated total energy: -14.0 eV per formula unit